# GGA-PBE Pr3CCl2, relaxed
# SG = No. 71
# energy relative to the elements, uncorrected = -1.0958 eV per atom
# N(E_F) = 0.53 states/eV per atom
# spin magnetization = 0.00 μB/cell
data_Pr3CCl2
_space_group_name_H-M_alt 'P 1'
_space_group_IT_number 1
_cell_length_a 3.768
_cell_length_b 5.642
_cell_length_c 7.498
_cell_angle_alpha 112.10
_cell_angle_beta 104.55
_cell_angle_gamma 90.00
loop_
_space_group_symop_operation_xyz
'x,y,z'
loop_
_atom_site_label
_atom_site_type_symbol
_atom_site_fract_x
_atom_site_fract_y
_atom_site_fract_z
Cl1 Cl 0.824 0.824 0.148
Pr1 Pr 0.500 0.000 0.500
C1 C 0.500 0.500 0.500
Cl2 Cl 0.176 0.176 0.852
Pr2 Pr 0.127 0.627 0.753
Pr3 Pr 0.873 0.373 0.247

=====

# GGA-PBE Pr3CCl5, relaxed
# SG = No. 15
# energy relative to the elements, uncorrected = -1.8212 eV per atom
# N(E_F) = 0.00 states/eV per atom
# spin magnetization = 0.00 μB/cell
data_Pr3CCl5
_space_group_name_H-M_alt 'P 1'
_space_group_IT_number 1
_cell_length_a 8.324
_cell_length_b 8.324
_cell_length_c 16.016
_cell_angle_alpha 83.82
_cell_angle_beta 83.82
_cell_angle_gamma 63.82
loop_
_space_group_symop_operation_xyz
'x,y,z'
loop_
_atom_site_label
_atom_site_type_symbol
_atom_site_fract_x
_atom_site_fract_y
_atom_site_fract_z
Cl1 Cl 0.347 0.617 0.080
Cl2 Cl 0.617 0.347 0.580
Pr1 Pr 0.655 0.909 0.202
Cl3 Cl 0.155 0.904 0.901
Cl4 Cl 0.010 0.719 0.266
Pr2 Pr 0.091 0.345 0.298
Cl5 Cl 0.383 0.653 0.420
Cl6 Cl 0.990 0.281 0.734
C1 C 0.609 0.849 0.070
Cl7 Cl 0.536 0.721 0.741
Cl8 Cl 0.653 0.383 0.920
Cl9 Cl 0.096 0.845 0.599
Cl10 Cl 0.721 0.536 0.241
Cl11 Cl 0.281 0.990 0.234
Pr3 Pr 0.286 0.457 0.938
C2 C 0.151 0.391 0.430
Cl12 Cl 0.464 0.279 0.259
Cl13 Cl 0.279 0.464 0.759
Pr4 Pr 0.289 0.996 0.045
Cl14 Cl 0.098 0.376 0.093
Pr5 Pr 0.711 0.004 0.955
Pr6 Pr 0.996 0.289 0.545
Cl15 Cl 0.902 0.624 0.907
Pr7 Pr 0.714 0.543 0.062
Pr8 Pr 0.457 0.286 0.438
Cl16 Cl 0.624 0.902 0.407
C3 C 0.849 0.609 0.570
Cl17 Cl 0.719 0.010 0.766
Pr9 Pr 0.543 0.714 0.562
Cl18 Cl 0.845 0.096 0.099
C4 C 0.391 0.151 0.930
Pr10 Pr 0.909 0.655 0.702
Cl19 Cl 0.376 0.098 0.593
Cl20 Cl 0.904 0.155 0.401
Pr11 Pr 0.004 0.711 0.455
Pr12 Pr 0.345 0.091 0.798

=====

# GGA-PBE Pr11C11Cl7, relaxed
# SG = No. 14
# energy relative to the elements, uncorrected = -0.9634 eV per atom
# N(E_F) = 0.31 states/eV per atom
# spin magnetization = 0.00 μB/cell
data_Pr11C11Cl7
_space_group_name_H-M_alt 'P 1'
_space_group_IT_number 1
_cell_length_a 47.101
_cell_length_b 6.866
_cell_length_c 7.709
_cell_angle_alpha 76.35
_cell_angle_beta 90.00
_cell_angle_gamma 90.00
loop_
_space_group_symop_operation_xyz
'x,y,z'
loop_
_atom_site_label
_atom_site_type_symbol
_atom_site_fract_x
_atom_site_fract_y
_atom_site_fract_z
Pr1 Pr 0.315 0.884 0.379
Cl1 Cl 0.125 0.745 0.939
Cl2 Cl 0.305 0.277 0.116
Pr2 Pr 0.904 0.635 0.774
C1 C 0.992 0.028 0.561
C2 C 0.944 0.524 0.626
Pr3 Pr 0.460 0.359 0.231
Cl3 Cl 0.695 0.723 0.884
Cl4 Cl 0.340 0.761 0.026
C3 C 0.101 0.027 0.475
C4 C 0.919 0.023 0.632
C5 C 0.810 0.959 0.372
Pr4 Pr 0.730 0.613 0.541
Pr5 Pr 0.911 0.364 0.401
Cl5 Cl 0.195 0.777 0.116
Pr6 Pr 0.642 0.622 0.699
C6 C 0.190 0.041 0.628
Cl6 Cl 0.053 0.747 0.875
C7 C 0.871 0.519 0.575
Cl7 Cl 0.875 0.255 0.061
C8 C 0.690 0.459 0.372
C9 C 0.008 0.972 0.439
C10 C 0.536 0.977 0.514
Pr7 Pr 0.497 0.128 0.687
Pr8 Pr 0.404 0.865 0.226
Cl8 Cl 0.947 0.253 0.125
Pr9 Pr 0.960 0.141 0.769
C11 C 0.601 0.473 0.525
Pr10 Pr 0.778 0.842 0.169
C12 C 0.218 0.496 0.580
Pr11 Pr 0.997 0.372 0.313
Cl9 Cl 0.375 0.245 0.939
Pr12 Pr 0.089 0.636 0.599
Pr13 Pr 0.185 0.384 0.379
Cl10 Cl 0.840 0.739 0.974
Pr14 Pr 0.096 0.365 0.226
C13 C 0.556 0.024 0.626
Cl11 Cl 0.553 0.753 0.125
Pr15 Pr 0.722 0.342 0.169
Pr16 Pr 0.040 0.859 0.231
C14 C 0.237 0.545 0.689
C15 C 0.419 0.477 0.368
C16 C 0.263 0.045 0.689
Pr17 Pr 0.050 0.132 0.604
Cl12 Cl 0.984 0.756 0.049
Pr18 Pr 0.866 0.862 0.325
Pr19 Pr 0.550 0.368 0.396
C17 C 0.581 0.523 0.632
Pr20 Pr 0.677 0.854 0.248
Pr21 Pr 0.278 0.658 0.831
Pr22 Pr 0.222 0.158 0.831
C18 C 0.081 0.977 0.368
Pr23 Pr 0.823 0.354 0.248
C19 C 0.464 0.023 0.486
Cl13 Cl 0.413 0.750 0.872
Pr24 Pr 0.815 0.616 0.621
C20 C 0.310 0.541 0.628
Pr25 Pr 0.685 0.116 0.621
Pr26 Pr 0.540 0.641 0.769
C21 C 0.629 0.019 0.575
C22 C 0.129 0.481 0.425
C23 C 0.036 0.523 0.486
C24 C 0.508 0.528 0.561
Pr27 Pr 0.450 0.632 0.604
C25 C 0.763 0.455 0.311
Pr28 Pr 0.858 0.122 0.699
C26 C 0.855 0.461 0.454
C27 C 0.326 0.484 0.506
Pr29 Pr 0.177 0.646 0.752
C28 C 0.899 0.973 0.525
Pr30 Pr 0.411 0.136 0.599
Cl14 Cl 0.233 0.272 0.184
Cl15 Cl 0.484 0.744 0.951
Cl16 Cl 0.087 0.250 0.872
Pr31 Pr 0.950 0.868 0.396
Pr32 Pr 0.230 0.887 0.459
Pr33 Pr 0.589 0.864 0.401
C29 C 0.737 0.955 0.311
Cl17 Cl 0.733 0.228 0.816
C30 C 0.282 0.996 0.580
Pr34 Pr 0.142 0.878 0.301
Cl18 Cl 0.625 0.755 0.061
Cl19 Cl 0.016 0.244 0.951
Pr35 Pr 0.596 0.135 0.774
Cl20 Cl 0.913 0.750 0.128
Pr36 Pr 0.134 0.138 0.675
C31 C 0.056 0.476 0.374
C32 C 0.355 0.039 0.546
Cl21 Cl 0.660 0.239 0.974
Pr37 Pr 0.634 0.362 0.325
C33 C 0.645 0.961 0.454
C34 C 0.174 0.984 0.506
Cl22 Cl 0.805 0.223 0.884
Cl23 Cl 0.267 0.772 0.184
C35 C 0.782 0.504 0.420
C36 C 0.399 0.527 0.475
C37 C 0.145 0.539 0.546
Pr38 Pr 0.366 0.638 0.675
C38 C 0.674 0.516 0.494
Cl24 Cl 0.160 0.261 0.026
Cl25 Cl 0.516 0.256 0.049
Pr39 Pr 0.503 0.872 0.313
Pr40 Pr 0.770 0.113 0.541
C39 C 0.444 0.976 0.374
Pr41 Pr 0.270 0.387 0.459
Pr42 Pr 0.323 0.146 0.752
Pr43 Pr 0.003 0.628 0.687
Cl26 Cl 0.767 0.728 0.816
Cl27 Cl 0.447 0.247 0.875
C40 C 0.718 0.004 0.420
C41 C 0.964 0.477 0.514
C42 C 0.371 0.981 0.425
C43 C 0.826 0.016 0.494
C44 C 0.492 0.472 0.439
Pr44 Pr 0.358 0.378 0.301
Cl28 Cl 0.587 0.250 0.128

=====

# GGA-PBE Pr2CCl2, relaxed
# SG = No. 166
# energy relative to the elements, uncorrected = -1.2684 eV per atom
# spin magnetization = 0.00 μB/cell
data_Pr2CCl2
_space_group_name_H-M_alt 'P 1'
_space_group_IT_number 1
_cell_length_a 3.839
_cell_length_b 3.839
_cell_length_c 10.729
_cell_angle_alpha 79.69
_cell_angle_beta 79.69
_cell_angle_gamma 60.00
loop_
_space_group_symop_operation_xyz
'x,y,z'
loop_
_atom_site_label
_atom_site_type_symbol
_atom_site_fract_x
_atom_site_fract_y
_atom_site_fract_z
Pr1 Pr 0.380 0.380 0.859
Pr2 Pr 0.620 0.620 0.141
Cl1 Cl 0.893 0.893 0.321
C1 C 0.000 0.000 0.000
Cl2 Cl 0.107 0.107 0.679

=====

# GGA-PBE Pr4C2Cl3, relaxed
# SG = No. 12
# energy relative to the elements, uncorrected = -1.0861 eV per atom
# N(E_F) = 0.13 states/eV per atom
# spin magnetization = 0.00 μB/cell
data_Pr4C2Cl3
_space_group_name_H-M_alt 'P 1'
_space_group_IT_number 1
_cell_length_a 3.637
_cell_length_b 7.565
_cell_length_c 8.592
_cell_angle_alpha 100.45
_cell_angle_beta 90.00
_cell_angle_gamma 103.91
loop_
_space_group_symop_operation_xyz
'x,y,z'
loop_
_atom_site_label
_atom_site_type_symbol
_atom_site_fract_x
_atom_site_fract_y
_atom_site_fract_z
Cl1 Cl 0.000 0.000 0.000
Pr1 Pr 0.094 0.189 0.699
Cl2 Cl 0.416 0.832 0.604
Pr2 Pr 0.906 0.811 0.301
C1 C 0.696 0.391 0.829
C2 C 0.304 0.609 0.171
Cl3 Cl 0.584 0.168 0.396
Pr3 Pr 0.679 0.358 0.110
Pr4 Pr 0.321 0.642 0.890

=====

# GGA-PBE Pr2CCl2, relaxed
# SG = No. 14
# energy relative to the elements, uncorrected = -1.2125 eV per atom
# spin magnetization = 0.00 μB/cell
data_Pr2CCl2
_space_group_name_H-M_alt 'P 1'
_space_group_IT_number 1
_cell_length_a 6.935
_cell_length_b 7.708
_cell_length_c 9.812
_cell_angle_alpha 90.00
_cell_angle_beta 94.40
_cell_angle_gamma 90.00
loop_
_space_group_symop_operation_xyz
'x,y,z'
loop_
_atom_site_label
_atom_site_type_symbol
_atom_site_fract_x
_atom_site_fract_y
_atom_site_fract_z
Cl1 Cl 0.979 0.779 0.962
Cl2 Cl 0.117 0.354 0.713
Pr1 Pr 0.252 0.007 0.828
Pr2 Pr 0.304 0.619 0.562
C1 C 0.852 0.098 0.377
Cl3 Cl 0.479 0.721 0.962
Cl4 Cl 0.617 0.146 0.713
C2 C 0.148 0.902 0.623
Cl5 Cl 0.021 0.221 0.038
Pr3 Pr 0.804 0.881 0.562
Cl6 Cl 0.383 0.854 0.287
Cl7 Cl 0.883 0.646 0.287
C3 C 0.648 0.598 0.623
Cl8 Cl 0.521 0.279 0.038
Pr4 Pr 0.752 0.493 0.828
C4 C 0.352 0.402 0.377
Pr5 Pr 0.696 0.381 0.438
Pr6 Pr 0.196 0.119 0.438
Pr7 Pr 0.248 0.507 0.172
Pr8 Pr 0.748 0.993 0.172

=====

# GGA-PBE Pr3C2Cl2, relaxed
# SG = No. 2
# energy relative to the elements, uncorrected = -0.7792 eV per atom
# N(E_F) = 0.51 states/eV per atom
# spin magnetization = 0.00 μB/cell
data_Pr3C2Cl2
_space_group_name_H-M_alt 'P 1'
_space_group_IT_number 1
_cell_length_a 3.737
_cell_length_b 6.455
_cell_length_c 7.565
_cell_angle_alpha 101.20
_cell_angle_beta 91.11
_cell_angle_gamma 103.04
loop_
_space_group_symop_operation_xyz
'x,y,z'
loop_
_atom_site_label
_atom_site_type_symbol
_atom_site_fract_x
_atom_site_fract_y
_atom_site_fract_z
C1 C 0.358 0.725 0.062
Cl1 Cl 0.842 0.741 0.630
Pr1 Pr 0.000 0.000 0.000
C2 C 0.642 0.275 0.938
Pr2 Pr 0.214 0.441 0.782
Cl2 Cl 0.158 0.259 0.370
Pr3 Pr 0.786 0.559 0.218

=====

# GGA-PBE Pr2CCl, relaxed
# SG = No. 160
# energy relative to the elements, uncorrected = -0.9805 eV per atom
# N(E_F) = 0.53 states/eV per atom
# spin magnetization = 0.00 μB/cell
data_Pr2CCl
_space_group_name_H-M_alt 'P 1'
_space_group_IT_number 1
_cell_length_a 3.788
_cell_length_b 3.788
_cell_length_c 7.660
_cell_angle_alpha 75.69
_cell_angle_beta 75.69
_cell_angle_gamma 60.00
loop_
_space_group_symop_operation_xyz
'x,y,z'
loop_
_atom_site_label
_atom_site_type_symbol
_atom_site_fract_x
_atom_site_fract_y
_atom_site_fract_z
C1 C 0.667 0.667 0.998
Pr1 Pr 0.064 0.064 0.808
Pr2 Pr 0.270 0.270 0.190
Cl1 Cl 0.499 0.499 0.504